# 1
VASP calculation (PBE) on an optimized crystal structure of Sn3Se2I2.

Properties
The calculation puts the density at 5.01 g cm⁻³. Its symmetry is C2/m (12). As for the volume: 254 Å³/f.u.

extended XYZ file:
```
7
Lattice="7.109 -2.185 0.000 7.109 2.185 0.000 -1.343 0.000 8.191" Properties=species:S:1:pos:R:3 pbc="T T T"
Sn 0.000 0.000 0.000
Sn 2.432 0.000 6.435
Sn 10.444 0.000 1.757
Se 5.116 0.000 0.692
Se 7.759 0.000 7.499
I 1.193 0.000 2.948
I 11.682 0.000 5.244
```

# 2
VASP calculation (PBE) on an optimized crystal structure of Sn2Se2I.

Properties
The calculation puts the density at 5.92 g cm⁻³. Its symmetry is P4/mbm (127). As for the volume: 147 Å³/f.u.

extended XYZ file:
```
10
Lattice="8.980 0.000 0.000 0.000 8.980 0.000 0.000 0.000 3.636" Properties=species:S:1:pos:R:3 pbc="T T T"
Sn 1.222 3.268 0.000
Sn 3.268 7.759 0.000
Sn 5.712 1.222 0.000
Sn 7.759 5.712 0.000
Se 1.164 5.654 1.818
Se 3.327 1.164 1.818
Se 5.654 7.817 1.818
Se 7.817 3.327 1.818
I 0.000 0.000 1.818
I 4.490 4.490 1.818
```

# 3
VASP calculation (PBE) on an optimized crystal structure of Sn2Se2I.

Properties
The calculation puts the density at 6.34 g cm⁻³. Its symmetry is P4/mbm (127). As for the volume: 137 Å³/f.u.

extended XYZ file:
```
10
Lattice="8.484 0.000 0.000 0.000 8.484 0.000 0.000 0.000 3.798" Properties=species:S:1:pos:R:3 pbc="T T T"
Sn 1.382 2.860 0.000
Sn 2.860 7.102 0.000
Sn 5.624 1.382 0.000
Sn 7.102 5.624 0.000
Se 1.165 5.407 1.899
Se 3.077 1.165 1.899
Se 5.407 7.320 1.899
Se 7.320 3.077 1.899
I 0.000 0.000 0.000
I 4.242 4.242 0.000
```

| no. | energy relative to the lowest polymorph listed for this composition (meV/atom) |
| --- | --- |
| 1 | 0 |
| 2 | 297 |
| 3 | 175 |